VASP calculation (PBE) on a geometry-optimized SrMo3 structure.

Summary:
E above lowest polymorph	0.373	eV/atom
total moment	0.00	μB per cell
VASP energy	-7.4858	eV/atom
formation enthalpy at 0 K	1058	meV/atom

Geometry as CIF:
```
data_SrMo3
_chemical_formula_sum 'Sr2 Mo6'
_symmetry_space_group_name_H-M 'I 4/m m m'
_symmetry_Int_Tables_number 139
_symmetry_space_group_name_Hall '-I 4 2'
_cell_length_a 4.720
_cell_length_b 4.720
_cell_length_c 6.662
_cell_angle_alpha 90.00
_cell_angle_beta 90.00
_cell_angle_gamma 90.00
loop_
_atom_site_label
_atom_site_fract_x
_atom_site_fract_y
_atom_site_fract_z
_atom_site_occupancy
Sr1 0.000 0.000 0.000 1
Mo1 0.000 0.000 0.500 1
Mo2 0.000 0.500 0.250 1
```